Entry 1:
Crystalline TlTcRh2 at its relaxed geometry, computed with GGA-PBE.

```
TlTcRh2
1.0
9.144 -0.008 -0.005
8.685 2.860 -0.005
8.685 1.389 2.500
Tc Rh Tl
1 2 1
Cartesian
13.435 2.149 1.262
6.571 1.051 0.617
26.425 4.227 2.482
19.855 3.176 1.865
```

Values from the calculation:
- Excess energy over the best structure of this formula in the dataset: 307 meV per atom
- Total moment: 0.2 μB/f.u.
- Energy of formation: 398 meV per atom


Entry 2:
Crystalline LiB4 at its relaxed geometry, computed with GGA-PBE.

```
LiB4
1.0
-1.145 1.618 2.911
-3.324 -0.738 -0.898
0.197 -3.040 1.767
B Li
4 1
Cartesian
-0.474 -0.711 2.339
-1.564 -1.889 0.435
0.000 0.000 0.000
-2.235 0.440 1.006
-2.136 -1.080 1.890
```

Values from the calculation:
- Excess energy over the best structure of this formula in the dataset: 2584 meV per atom
- Total moment: 0.0 μB/f.u.
- Energy of formation: 2613 meV per atom


Entry 3:
Crystalline SmAs3Pd5 at its relaxed geometry, computed with GGA-PBE.

```
SmAs3Pd5
1.0
4.187 0.000 0.000
-2.094 6.820 0.000
0.000 0.000 11.634
As Pd Sm
6 10 2
Cartesian
0.000 5.561 6.808
0.000 5.561 10.642
2.094 5.016 2.908
2.094 1.258 0.991
2.094 1.258 4.826
0.000 1.803 8.725
0.000 5.474 1.507
0.000 5.474 4.310
2.094 1.346 10.127
0.000 0.000 0.000
0.000 3.097 10.829
2.094 3.723 5.012
0.000 3.097 6.622
2.094 1.346 7.324
0.000 0.000 5.817
2.094 3.723 0.805
0.000 2.399 2.908
2.094 4.421 8.725
```

Values from the calculation:
- Total moment: 0.0 μB/f.u.
- Energy of formation: -565 meV per atom


Entry 4:
Crystalline SrPmHgAs at its relaxed geometry, computed with GGA-PBE.

```
SrPmHgAs
1.0
5.380 0.000 0.000
2.690 4.659 0.000
2.690 1.553 4.393
Pm Sr Hg As
1 1 1 1
Cartesian
5.380 3.106 2.196
0.000 0.000 0.000
2.690 1.553 1.098
8.070 4.659 3.295
```

Values from the calculation:
- Total moment: 0.0 μB/f.u.
- Energy of formation: -643 meV per atom


Entry 5:
Crystalline NaLaP2O8 at its relaxed geometry, computed with GGA-PBE.

```
NaLaP2O8
1.0
6.023 0.033 0.000
-2.642 5.413 0.000
-1.690 -2.723 5.100
O La Na P
8 1 1 2
Cartesian
2.926 3.058 0.873
-0.248 1.256 4.227
1.779 -0.301 1.670
0.248 -1.256 4.227
0.455 2.387 0.873
2.749 1.262 3.430
3.274 -1.229 3.430
4.244 0.333 1.670
0.000 0.000 0.000
-1.321 2.706 2.550
3.012 0.016 2.550
1.690 2.723 0.000
```

Values from the calculation:
- E_form (uncorrected): -2268 meV/atom
- Total moment: 2.0 μB/f.u.


Entry 6:
Crystalline Ac2NdAu6 at its relaxed geometry, computed with GGA-PBE.

```
Ac2NdAu6
1.0
-1.598 0.890 3.493
5.668 -3.639 5.746
6.644 4.036 4.237
Nd Au Ac
1 6 2
Cartesian
5.357 0.643 6.738
6.460 2.591 4.521
3.951 1.664 3.609
3.600 -1.098 4.152
5.852 -2.195 5.462
7.114 2.385 9.324
6.763 -0.377 9.866
9.527 0.912 10.803
1.187 0.374 2.673
```

Values from the calculation:
- Excess energy over the best structure of this formula in the dataset: 103 meV per atom
- Total moment: 0.0 μB/f.u.
- Energy of formation: -689 meV per atom


Entry 7:
Crystalline Li3MgZr at its relaxed geometry, computed with GGA-PBE.

```
Li3MgZr
1.0
4.709 0.000 0.000
0.000 4.709 0.000
0.000 0.000 4.709
Mg Li Zr
1 3 1
Cartesian
0.000 0.000 0.000
0.000 2.355 0.000
2.355 0.000 0.000
0.000 0.000 2.355
2.355 2.355 2.355
```

Values from the calculation:
- Excess energy over the best structure of this formula in the dataset: 0 meV per atom
- Total moment: 1.3 μB/f.u.
- Energy of formation: 720 meV per atom


Entry 8:
Crystalline AcTbPu4 at its relaxed geometry, computed with GGA-PBE.

```
AcTbPu4
1.0
-1.875 -5.528 2.417
-1.032 -4.929 -3.816
3.956 -4.926 0.061
Pu Ac Tb
4 1 1
Cartesian
1.595 -6.848 -2.047
1.173 -7.148 1.076
-1.327 -7.150 -0.867
0.656 -9.618 -0.836
0.262 -3.846 -0.334
0.000 0.000 0.000
```

Values from the calculation:
- Total moment: 23.7 μB/f.u.
- Energy of formation: 251 meV per atom